No. 1
## Th3FePd (PBE-GGA)

Data for a relaxed Th3FePd crystal.

Crystal system: monoclinic
Density in g/cm3: 11.5
VASP energy in eV per atom: -7.499

abc: 3.848 8.131 8.503
angles: 111.01 90.00 90.00
Positions (direct):
Th 0.250 0.598 0.338
Th 0.750 0.402 0.662
Th 0.250 0.051 0.681
Th 0.750 0.221 0.047
Th 0.750 0.949 0.319
Th 0.250 0.779 0.953
Fe 0.750 0.556 0.084
Fe 0.250 0.444 0.916
Pd 0.750 0.764 0.654
Pd 0.250 0.236 0.346

No. 2
## LaRe2SiGe (PBE-GGA)

Data for a relaxed LaRe2SiGe crystal.

Crystal system: tetragonal
Raw formation energy in kJ/mol of formula units: 1286
Density in g/cm3: 8.0
VASP energy in eV per atom: -5.308

abc: 4.852 4.852 5.405
angles: 90.00 90.00 90.00
Positions (direct):
Re 0.000 0.500 0.000
Re 0.500 0.000 0.000
Ge 0.000 0.000 0.500
Si 0.500 0.500 0.500
La 0.000 0.000 0.000

No. 3
## Pr8AsIr3Cl4 (PBE-GGA)

Data for a relaxed Pr8AsIr3Cl4 crystal.

Crystal system: trigonal
Raw formation energy in kJ/mol of formula units: -1901
Density in g/cm3: 6.9
VASP energy in eV per atom: -6.035

abc: 8.462 8.889 8.462
angles: 118.44 120.00 90.00
Positions (direct):
Pr 0.243 0.709 0.966
Pr 0.243 0.709 0.487
Pr 0.265 0.294 0.529
Pr 0.722 0.709 0.966
Pr 0.278 0.291 0.034
Pr 0.735 0.706 0.471
Pr 0.757 0.291 0.513
Pr 0.757 0.291 0.034
As 0.000 0.500 0.000
Ir 0.500 0.500 0.000
Ir 0.500 0.500 0.500
Ir 0.000 0.500 0.500
Cl 0.500 0.000 0.000
Cl 0.500 0.000 0.500
Cl 0.000 0.000 0.000
Cl 0.000 0.000 0.500